a) {"formula": "SmTcPt", "functional": "PBE-GGA", "state": "optimized geometry", "cell": [[0.000, 3.271, 3.271], [3.271, 0.000, 3.271], [3.271, 3.271, 0.000]], "species": ["Sm", "Tc", "Pt"], "frac_coords": [[0.250, 0.250, 0.250], [0.750, 0.750, 0.750], [0.000, 0.000, 0.000]], "total_magnetization_mub_per_cell": 2.4, "rho_g_cm3": 10.52, "crystal_system": "cubic"}



b) {"formula": "SmTcPt", "functional": "PBE-GGA", "state": "optimized geometry", "cell": [[2.859, -3.524, -0.807], [-0.483, -3.941, 2.340], [-1.545, -3.777, -2.142]], "species": ["Pt", "Tc", "Sm"], "frac_coords": [[0.250, 0.250, 0.250], [0.750, 0.750, 0.750], [0.000, 0.000, 0.000]], "total_magnetization_mub_per_cell": 2.4, "rho_g_cm3": 10.64, "crystal_system": "cubic"}



Short version: b) is the least stable of them.



a) {"formula": "SnPt9", "functional": "PBE-GGA", "state": "optimized geometry", "cell": [[-0.191, -2.625, 1.112], [1.865, -1.461, -3.126], [36.581, 5.495, 19.261]], "species": ["Pt", "Pt", "Pt", "Pt", "Pt", "Pt", "Pt", "Pt", "Pt", "Pt", "Pt", "Pt", "Pt", "Pt", "Pt", "Pt", "Pt", "Pt", "Sn", "Sn"], "frac_coords": [[0.500, 0.500, 0.782], [0.000, 0.000, 0.816], [0.000, 0.000, 0.950], [0.000, 0.000, 0.883], [0.500, 0.500, 0.050], [0.000, 0.000, 0.748], [0.500, 0.500, 0.184], [0.500, 0.500, 0.117], [0.000, 0.000, 0.017], [0.000, 0.000, 0.151], [0.500, 0.500, 0.849], [0.000, 0.000, 0.084], [0.500, 0.500, 0.252], [0.500, 0.500, 0.916], [0.500, 0.500, 0.713], [0.000, 0.000, 0.287], [0.000, 0.000, 0.218], [0.500, 0.500, 0.983], [0.500, 0.500, 0.323], [0.000, 0.000, 0.677]], "total_magnetization_mub_per_cell": 0.0, "rho_g_cm3": 13.32, "crystal_system": "orthorhombic"}



b) {"formula": "SnPt9", "functional": "PBE-GGA", "state": "optimized geometry", "cell": [[2.869, 0.000, 0.000], [0.000, 2.869, 0.000], [0.000, 0.000, 51.154]], "species": ["Pt", "Pt", "Pt", "Pt", "Pt", "Pt", "Pt", "Pt", "Pt", "Pt", "Pt", "Pt", "Pt", "Pt", "Pt", "Pt", "Pt", "Pt", "Sn", "Sn"], "frac_coords": [[0.000, 0.500, 0.295], [0.000, 0.500, 0.369], [0.000, 0.500, 0.593], [0.500, 0.000, 0.631], [0.500, 0.000, 0.705], [0.000, 0.500, 0.820], [0.000, 0.500, 0.668], [0.500, 0.000, 0.781], [0.000, 0.500, 0.743], [0.500, 0.000, 0.332], [0.500, 0.000, 0.407], [0.500, 0.000, 0.257], [0.500, 0.000, 0.481], [0.000, 0.500, 0.444], [0.000, 0.500, 0.519], [0.500, 0.000, 0.556], [0.000, 0.500, 0.219], [0.500, 0.000, 0.180], [0.500, 0.000, 0.861], [0.000, 0.500, 0.139]], "total_magnetization_mub_per_cell": 0.0, "rho_g_cm3": 14.78, "crystal_system": "tetragonal"}



Short version: b) is the least stable of them.